Arrangement one

First-principles (PBE) data for an optimized crystal structure of BaNa2Co, as listed in Alexandria.

Geometry as POSCAR:
```
BaNa2Co
1.0
4.583 0.000 0.000
0.000 4.583 0.000
0.000 0.000 25.174
Ba Na Co
4 8 4
Direct
0.000 0.000 0.000
0.000 0.500 0.250
0.500 0.000 0.750
0.500 0.500 0.500
0.213 0.250 0.625
0.250 0.713 0.875
0.250 0.787 0.375
0.287 0.250 0.125
0.713 0.750 0.125
0.750 0.213 0.375
0.750 0.287 0.875
0.787 0.750 0.625
0.000 0.000 0.500
0.000 0.500 0.750
0.500 0.000 0.250
0.500 0.500 0.000
```

Arrangement two

First-principles (PBE) data for an optimized crystal structure of BaNa2Co, as listed in Alexandria.

Geometry as POSCAR:
```
BaNa2Co
1.0
7.701 0.000 0.000
0.000 7.701 0.000
0.000 0.000 7.701
Ba Na Co
4 8 4
Direct
0.000 0.000 0.000
0.000 0.500 0.500
0.500 0.000 0.500
0.500 0.500 0.000
0.250 0.250 0.250
0.250 0.250 0.750
0.250 0.750 0.250
0.250 0.750 0.750
0.750 0.250 0.250
0.750 0.250 0.750
0.750 0.750 0.250
0.750 0.750 0.750
0.000 0.000 0.500
0.000 0.500 0.000
0.500 0.000 0.000
0.500 0.500 0.500
```

Relative energy table, unit eV/atom: arrangement one 0.000; arrangement two 0.162